## one
# SrMgSe2Br (PBE-GGA, relaxed)
# Magnetization, μB/f.u.: 0.00
data_SrMgSe2Br
_chemical_formula_sum 'Sr1 Mg1 Se2 Br1'
_cell_length_a 5.781
_cell_length_b 5.781
_cell_length_c 5.694
_cell_angle_alpha 90.00
_cell_angle_beta 90.00
_cell_angle_gamma 90.00
_space_group_name_H-M_alt 'P 4/m m m'
_space_group_IT_number 123
_space_group_name_Hall '-P 4 2'
loop_
_atom_site_label
_atom_site_fract_x
_atom_site_fract_y
_atom_site_fract_z
Sr1 0.000 0.000 0.000
Mg1 0.500 0.500 0.500
Se1 0.000 0.500 0.000
Br1 0.000 0.000 0.500

## two
# SrMgSe2Br (PBE-GGA, relaxed)
# Magnetization, μB/f.u.: 0.00
data_SrMgSe2Br
_chemical_formula_sum 'Sr1 Mg1 Se2 Br1'
_cell_length_a 5.084
_cell_length_b 5.084
_cell_length_c 5.405
_cell_angle_alpha 90.00
_cell_angle_beta 90.00
_cell_angle_gamma 90.00
_space_group_name_H-M_alt 'P 4/m m m'
_space_group_IT_number 123
_space_group_name_Hall '-P 4 2'
loop_
_atom_site_label
_atom_site_fract_x
_atom_site_fract_y
_atom_site_fract_z
Sr1 0.000 0.000 0.000
Mg1 0.500 0.500 0.500
Se1 0.000 0.500 0.500
Br1 0.500 0.500 0.000

The most stable arrangement is two, and the next structure is 78.3 kJ/mol of atoms less stable.

## one
# MgTaSeBr2 (PBE-GGA, relaxed)
# Magnetization, μB/f.u.: 2.98
data_MgTaSeBr2
_chemical_formula_sum 'Mg1 Ta1 Se1 Br2'
_cell_length_a 4.922
_cell_length_b 4.922
_cell_length_c 5.332
_cell_angle_alpha 90.00
_cell_angle_beta 90.00
_cell_angle_gamma 90.00
_space_group_name_H-M_alt 'P 4/m m m'
_space_group_IT_number 123
_space_group_name_Hall '-P 4 2'
loop_
_atom_site_label
_atom_site_fract_x
_atom_site_fract_y
_atom_site_fract_z
Mg1 0.000 0.000 0.000
Ta1 0.500 0.500 0.500
Se1 0.000 0.000 0.500
Br1 0.000 0.500 0.000

## two
# MgTaSeBr2 (PBE-GGA, relaxed)
# Magnetization, μB/f.u.: 0.23
data_MgTaSeBr2
_chemical_formula_sum 'Mg1 Ta1 Se1 Br2'
_cell_length_a 5.198
_cell_length_b 5.198
_cell_length_c 5.062
_cell_angle_alpha 90.00
_cell_angle_beta 90.00
_cell_angle_gamma 90.00
_space_group_name_H-M_alt 'P 4/m m m'
_space_group_IT_number 123
_space_group_name_Hall '-P 4 2'
loop_
_atom_site_label
_atom_site_fract_x
_atom_site_fract_y
_atom_site_fract_z
Mg1 0.000 0.000 0.000
Ta1 0.500 0.500 0.500
Se1 0.500 0.500 0.000
Br1 0.000 0.500 0.500

The most stable arrangement is two, and the next structure is 48.7 kJ/mol of atoms less stable.

## one
# MgWSeBr2 (PBE-GGA, relaxed)
# Magnetization, μB/f.u.: 4.00
data_MgWSeBr2
_chemical_formula_sum 'Mg1 W1 Se1 Br2'
_cell_length_a 4.918
_cell_length_b 4.918
_cell_length_c 5.503
_cell_angle_alpha 90.00
_cell_angle_beta 90.00
_cell_angle_gamma 90.00
_space_group_name_H-M_alt 'P 4/m m m'
_space_group_IT_number 123
_space_group_name_Hall '-P 4 2'
loop_
_atom_site_label
_atom_site_fract_x
_atom_site_fract_y
_atom_site_fract_z
Mg1 0.000 0.000 0.000
W1 0.500 0.500 0.500
Se1 0.000 0.000 0.500
Br1 0.000 0.500 0.000

## two
# MgWSeBr2 (PBE-GGA, relaxed)
# Magnetization, μB/f.u.: 1.81
data_MgWSeBr2
_chemical_formula_sum 'Mg1 W1 Se1 Br2'
_cell_length_a 5.287
_cell_length_b 5.287
_cell_length_c 4.885
_cell_angle_alpha 90.00
_cell_angle_beta 90.00
_cell_angle_gamma 90.00
_space_group_name_H-M_alt 'P 4/m m m'
_space_group_IT_number 123
_space_group_name_Hall '-P 4 2'
loop_
_atom_site_label
_atom_site_fract_x
_atom_site_fract_y
_atom_site_fract_z
Mg1 0.000 0.000 0.000
W1 0.500 0.500 0.500
Se1 0.500 0.500 0.000
Br1 0.000 0.500 0.500

The most stable arrangement is two, and the next structure is 40.2 kJ/mol of atoms less stable.

## one
# YMgSeBr2 (PBE-GGA, relaxed)
# Magnetization, μB/f.u.: 0.68
data_YMgSeBr2
_chemical_formula_sum 'Y1 Mg1 Se1 Br2'
_cell_length_a 5.569
_cell_length_b 5.569
_cell_length_c 5.537
_cell_angle_alpha 90.00
_cell_angle_beta 90.00
_cell_angle_gamma 90.00
_space_group_name_H-M_alt 'P 4/m m m'
_space_group_IT_number 123
_space_group_name_Hall '-P 4 2'
loop_
_atom_site_label
_atom_site_fract_x
_atom_site_fract_y
_atom_site_fract_z
Y1 0.000 0.000 0.000
Mg1 0.500 0.500 0.500
Se1 0.000 0.000 0.500
Br1 0.000 0.500 0.000

## two
# YMgSeBr2 (PBE-GGA, relaxed)
# Magnetization, μB/f.u.: 0.83
data_YMgSeBr2
_chemical_formula_sum 'Y1 Mg1 Se1 Br2'
_cell_length_a 5.020
_cell_length_b 5.020
_cell_length_c 5.335
_cell_angle_alpha 90.00
_cell_angle_beta 90.00
_cell_angle_gamma 90.00
_space_group_name_H-M_alt 'P 4/m m m'
_space_group_IT_number 123
_space_group_name_Hall '-P 4 2'
loop_
_atom_site_label
_atom_site_fract_x
_atom_site_fract_y
_atom_site_fract_z
Y1 0.000 0.000 0.000
Mg1 0.500 0.500 0.500
Se1 0.500 0.500 0.000
Br1 0.000 0.500 0.500

The most stable arrangement is one, and the next structure is 15.0 kJ/mol of atoms less stable.

## one
# MgSi2Br (PBE-GGA, relaxed)
# Magnetization, μB/f.u.: 0.00
data_MgSi2Br
_chemical_formula_sum 'Mg3 Si6 Br3'
_cell_length_a 3.8286
_cell_length_b 3.8286
_cell_length_c 22.9093
_cell_angle_alpha 90.00
_cell_angle_beta 90.00
_cell_angle_gamma 120.00
_space_group_name_H-M_alt 'R 3 m'
_space_group_IT_number 160
_space_group_name_Hall 'R 3 -2"'
loop_
_atom_site_label
_atom_site_fract_x
_atom_site_fract_y
_atom_site_fract_z
Mg1 0.0000 0.0000 0.0000
Si1 0.0000 0.0000 0.4491
Si2 0.0000 0.0000 0.7498
Br1 0.0000 0.0000 0.2659

## two
# MgSi2Br (PBE-GGA, relaxed)
# Magnetization, μB/f.u.: 0.00
data_MgSi2Br
_chemical_formula_sum 'Mg1 Si2 Br1'
_cell_length_a 3.231
_cell_length_b 3.231
_cell_length_c 7.584
_cell_angle_alpha 90.00
_cell_angle_beta 90.00
_cell_angle_gamma 90.00
_space_group_name_H-M_alt 'P 4/m m m'
_space_group_IT_number 123
_space_group_name_Hall '-P 4 2'
loop_
_atom_site_label
_atom_site_fract_x
_atom_site_fract_y
_atom_site_fract_z
Mg1 0.000 0.000 0.000
Si1 0.500 0.500 0.230
Br1 0.000 0.000 0.500

## three
# MgSi2Br (PBE-GGA, relaxed)
# Magnetization, μB/f.u.: 0.00
data_MgSi2Br
_chemical_formula_sum 'Mg2 Si4 Br2'
_cell_length_a 4.937
_cell_length_b 4.937
_cell_length_c 6.531
_cell_angle_alpha 90.00
_cell_angle_beta 90.00
_cell_angle_gamma 90.00
_space_group_name_H-M_alt 'I -4 m 2'
_space_group_IT_number 119
_space_group_name_Hall 'I -4 -2'
loop_
_atom_site_label
_atom_site_fract_x
_atom_site_fract_y
_atom_site_fract_z
Mg1 0.000 0.000 0.000
Si1 0.000 0.000 0.500
Si2 0.000 0.500 0.250
Br1 0.000 0.500 0.750

The most stable arrangement is one, and the next structure is 68.4 kJ/mol of atoms less stable.

## one
# MgSi2Br (PBE-GGA, relaxed)
# Magnetization, μB/f.u.: 0.00
data_MgSi2Br
_chemical_formula_sum 'Mg2 Si4 Br2'
_cell_length_a 3.156
_cell_length_b 4.691
_cell_length_c 11.278
_cell_angle_alpha 90.00
_cell_angle_beta 90.00
_cell_angle_gamma 90.00
_space_group_name_H-M_alt 'I m m 2'
_space_group_IT_number 44
_space_group_name_Hall 'I 2 -2'
loop_
_atom_site_label
_atom_site_fract_x
_atom_site_fract_y
_atom_site_fract_z
Mg1 0.000 0.000 0.000
Si1 0.000 0.000 0.405
Si2 0.000 0.500 0.733
Br1 0.000 0.500 0.179

## two
# MgSi2Br (PBE-GGA, relaxed)
# Magnetization, μB/f.u.: 0.00
data_MgSi2Br
_chemical_formula_sum 'Mg2 Si4 Br2'
_cell_length_a 3.472
_cell_length_b 5.397
_cell_length_c 8.691
_cell_angle_alpha 90.00
_cell_angle_beta 90.00
_cell_angle_gamma 90.00
_space_group_name_H-M_alt 'C m m m'
_space_group_IT_number 65
_space_group_name_Hall '-C 2 2'
loop_
_atom_site_label
_atom_site_fract_x
_atom_site_fract_y
_atom_site_fract_z
Mg1 0.000 0.000 0.000
Si1 0.000 0.500 0.246
Br1 0.000 0.000 0.500

## three
# MgSi2Br (PBE-GGA, relaxed)
# Magnetization, μB/f.u.: 0.00
data_MgSi2Br
_chemical_formula_sum 'Mg2 Si4 Br2'
_cell_length_a 4.077
_cell_length_b 13.513
_cell_length_c 3.406
_cell_angle_alpha 90.00
_cell_angle_beta 90.00
_cell_angle_gamma 90.00
_space_group_name_H-M_alt 'C m m m'
_space_group_IT_number 65
_space_group_name_Hall '-C 2 2'
loop_
_atom_site_label
_atom_site_fract_x
_atom_site_fract_y
_atom_site_fract_z
Mg1 0.000 0.000 0.000
Si1 0.000 0.203 0.000
Br1 0.000 0.500 0.500

The most stable arrangement is three, and the next structure is 22.1 kJ/mol of atoms less stable.

## one
# MgSi2Br (PBE-GGA, relaxed)
# Magnetization, μB/f.u.: 0.00
data_MgSi2Br
_chemical_formula_sum 'Mg4 Si8 Br4'
_cell_length_a 5.887
_cell_length_b 5.887
_cell_length_c 13.645
_cell_angle_alpha 90.00
_cell_angle_beta 90.00
_cell_angle_gamma 90.00
_space_group_name_H-M_alt 'I -4 2 d'
_space_group_IT_number 122
_space_group_name_Hall 'I -4 2bw'
loop_
_atom_site_label
_atom_site_fract_x
_atom_site_fract_y
_atom_site_fract_z
Mg1 0.000 0.000 0.000
Si1 0.231 0.250 0.125
Br1 0.000 0.000 0.500

## two
# MgSi2Br (PBE-GGA, relaxed)
# Magnetization, μB/f.u.: 0.00
data_MgSi2Br
_chemical_formula_sum 'Mg3 Si6 Br3'
_cell_length_a 3.3420
_cell_length_b 3.3420
_cell_length_c 25.4259
_cell_angle_alpha 90.00
_cell_angle_beta 90.00
_cell_angle_gamma 120.00
_space_group_name_H-M_alt 'R -3 m'
_space_group_IT_number 166
_space_group_name_Hall '-R 3 2"'
loop_
_atom_site_label
_atom_site_fract_x
_atom_site_fract_y
_atom_site_fract_z
Mg1 0.0000 0.0000 0.0000
Si1 0.0000 0.0000 0.2503
Br1 0.0000 0.0000 0.5000

The most stable arrangement is two, and the next structure is 29.3 kJ/mol of atoms less stable.

## one
# MgSiBr3 (PBE-GGA, relaxed)
# Magnetization, μB/f.u.: 1.00
data_MgSiBr3
_chemical_formula_sum 'Mg1 Si1 Br3'
_cell_length_a 5.215
_cell_length_b 5.215
_cell_length_c 5.215
_cell_angle_alpha 90.00
_cell_angle_beta 90.00
_cell_angle_gamma 90.00
_space_group_name_H-M_alt 'P m -3 m'
_space_group_IT_number 221
_space_group_name_Hall '-P 4 2 3'
loop_
_atom_site_label
_atom_site_fract_x
_atom_site_fract_y
_atom_site_fract_z
Mg1 0.000 0.000 0.000
Si1 0.500 0.500 0.500
Br1 0.000 0.000 0.500

## two
# MgSiBr3 (PBE-GGA, relaxed)
# Magnetization, μB/f.u.: 0.97
data_MgSiBr3
_chemical_formula_sum 'Mg1 Si1 Br3'
_cell_length_a 5.316
_cell_length_b 5.316
_cell_length_c 5.316
_cell_angle_alpha 90.00
_cell_angle_beta 90.00
_cell_angle_gamma 90.00
_space_group_name_H-M_alt 'P m -3 m'
_space_group_IT_number 221
_space_group_name_Hall '-P 4 2 3'
loop_
_atom_site_label
_atom_site_fract_x
_atom_site_fract_y
_atom_site_fract_z
Mg1 0.000 0.000 0.000
Si1 0.500 0.500 0.500
Br1 0.000 0.500 0.500

The most stable arrangement is one, and the next structure is 5.6 kJ/mol of atoms less stable.

## one
# MgSn3Br (PBE-GGA, relaxed)
# Magnetization, μB/f.u.: 0.00
data_MgSn3Br
_chemical_formula_sum 'Mg1 Sn3 Br1'
_cell_length_a 5.580
_cell_length_b 5.580
_cell_length_c 5.580
_cell_angle_alpha 90.00
_cell_angle_beta 90.00
_cell_angle_gamma 90.00
_space_group_name_H-M_alt 'P m -3 m'
_space_group_IT_number 221
_space_group_name_Hall '-P 4 2 3'
loop_
_atom_site_label
_atom_site_fract_x
_atom_site_fract_y
_atom_site_fract_z
Mg1 0.000 0.000 0.000
Sn1 0.000 0.500 0.500
Br1 0.500 0.500 0.500

## two
# MgSn3Br (PBE-GGA, relaxed)
# Magnetization, μB/f.u.: 0.00
data_MgSn3Br
_chemical_formula_sum 'Mg1 Sn3 Br1'
_cell_length_a 5.507
_cell_length_b 5.507
_cell_length_c 5.507
_cell_angle_alpha 90.00
_cell_angle_beta 90.00
_cell_angle_gamma 90.00
_space_group_name_H-M_alt 'P m -3 m'
_space_group_IT_number 221
_space_group_name_Hall '-P 4 2 3'
loop_
_atom_site_label
_atom_site_fract_x
_atom_site_fract_y
_atom_site_fract_z
Mg1 0.000 0.000 0.000
Sn1 0.000 0.000 0.500
Br1 0.500 0.500 0.500

The most stable arrangement is two, and the next structure is 20.8 kJ/mol of atoms less stable.

## one
# MgSn2Br (PBE-GGA, relaxed)
# Magnetization, μB/f.u.: 0.00
data_MgSn2Br
_chemical_formula_sum 'Mg4 Sn8 Br4'
_cell_length_a 4.245
_cell_length_b 4.245
_cell_length_c 25.085
_cell_angle_alpha 90.00
_cell_angle_beta 90.00
_cell_angle_gamma 90.00
_space_group_name_H-M_alt 'I -4 2 d'
_space_group_IT_number 122
_space_group_name_Hall 'I -4 2bw'
loop_
_atom_site_label
_atom_site_fract_x
_atom_site_fract_y
_atom_site_fract_z
Mg1 0.000 0.000 0.000
Sn1 0.236 0.250 0.125
Br1 0.000 0.000 0.500

## two
# MgSn2Br (PBE-GGA, relaxed)
# Magnetization, μB/f.u.: 0.00
data_MgSn2Br
_chemical_formula_sum 'Mg4 Sn8 Br4'
_cell_length_a 7.539
_cell_length_b 7.539
_cell_length_c 7.539
_cell_angle_alpha 90.00
_cell_angle_beta 90.00
_cell_angle_gamma 90.00
_space_group_name_H-M_alt 'F m -3 m'
_space_group_IT_number 225
_space_group_name_Hall '-F 4 2 3'
loop_
_atom_site_label
_atom_site_fract_x
_atom_site_fract_y
_atom_site_fract_z
Mg1 0.000 0.000 0.000
Sn1 0.250 0.250 0.250
Br1 0.000 0.000 0.500

The most stable arrangement is one, and the next structure is 21.8 kJ/mol of atoms less stable.

## one
# SrMgBr2 (PBE-GGA, relaxed)
# Magnetization, μB/f.u.: 0.00
data_SrMgBr2
_chemical_formula_sum 'Sr2 Mg2 Br4'
_cell_length_a 4.396
_cell_length_b 6.751
_cell_length_c 10.191
_cell_angle_alpha 90.00
_cell_angle_beta 90.00
_cell_angle_gamma 90.00
_space_group_name_H-M_alt 'I m m m'
_space_group_IT_number 71
_space_group_name_Hall '-I 2 2'
loop_
_atom_site_label
_atom_site_fract_x
_atom_site_fract_y
_atom_site_fract_z
Sr1 0.000 0.000 0.000
Mg1 0.000 0.000 0.500
Br1 0.000 0.500 0.298

## two
# SrMgBr2 (PBE-GGA, relaxed)
# Magnetization, μB/f.u.: 0.00
data_SrMgBr2
_chemical_formula_sum 'Sr3 Mg3 Br6'
_cell_length_a 4.0965
_cell_length_b 4.0965
_cell_length_c 30.8019
_cell_angle_alpha 90.00
_cell_angle_beta 90.00
_cell_angle_gamma 120.00
_space_group_name_H-M_alt 'R -3 m'
_space_group_IT_number 166
_space_group_name_Hall '-R 3 2"'
loop_
_atom_site_label
_atom_site_fract_x
_atom_site_fract_y
_atom_site_fract_z
Sr1 0.0000 0.0000 0.0000
Mg1 0.0000 0.0000 0.5000
Br1 0.0000 0.0000 0.1192

## three
# SrMgBr2 (PBE-GGA, relaxed)
# Magnetization, μB/f.u.: 0.00
data_SrMgBr2
_chemical_formula_sum 'Sr4 Mg4 Br8'
_cell_length_a 7.892
_cell_length_b 7.892
_cell_length_c 7.892
_cell_angle_alpha 90.00
_cell_angle_beta 90.00
_cell_angle_gamma 90.00
_space_group_name_H-M_alt 'F m -3 m'
_space_group_IT_number 225
_space_group_name_Hall '-F 4 2 3'
loop_
_atom_site_label
_atom_site_fract_x
_atom_site_fract_y
_atom_site_fract_z
Sr1 0.000 0.000 0.000
Mg1 0.000 0.000 0.500
Br1 0.250 0.250 0.250

## four
# SrMgBr2 (PBE-GGA, relaxed)
# Magnetization, μB/f.u.: 0.00
data_SrMgBr2
_chemical_formula_sum 'Sr1 Mg1 Br2'
_cell_length_a 6.140
_cell_length_b 4.305
_cell_length_c 6.394
_cell_angle_alpha 90.00
_cell_angle_beta 116.14
_cell_angle_gamma 90.00
_space_group_name_H-M_alt 'P 1 m 1'
_space_group_IT_number 6
_space_group_name_Hall 'P -2y'
loop_
_atom_site_label
_atom_site_fract_x
_atom_site_fract_y
_atom_site_fract_z
Sr1 0.000 0.000 0.000
Mg1 0.691 0.500 0.496
Br1 0.181 0.500 0.376
Br2 0.558 0.000 0.130

The most stable arrangement is four, and the next structure is 9.8 kJ/mol of atoms less stable.

## one
# SrMgBr (PBE-GGA, relaxed)
# Magnetization, μB/f.u.: 0.00
data_SrMgBr
_chemical_formula_sum 'Sr4 Mg4 Br4'
_cell_length_a 5.537
_cell_length_b 5.552
_cell_length_c 14.824
_cell_angle_alpha 90.00
_cell_angle_beta 90.00
_cell_angle_gamma 90.00
_space_group_name_H-M_alt 'F m m 2'
_space_group_IT_number 42
_space_group_name_Hall 'F 2 -2'
loop_
_atom_site_label
_atom_site_fract_x
_atom_site_fract_y
_atom_site_fract_z
Sr1 0.000 0.000 0.000
Mg1 0.000 0.000 0.659
Br1 0.000 0.000 0.391

## two
# SrMgBr (PBE-GGA, relaxed)
# Magnetization, μB/f.u.: 0.00
data_SrMgBr
_chemical_formula_sum 'Sr4 Mg4 Br4'
_cell_length_a 7.942
_cell_length_b 7.942
_cell_length_c 7.942
_cell_angle_alpha 90.00
_cell_angle_beta 90.00
_cell_angle_gamma 90.00
_space_group_name_H-M_alt 'F -4 3 m'
_space_group_IT_number 216
_space_group_name_Hall 'F -4 2 3'
loop_
_atom_site_label
_atom_site_fract_x
_atom_site_fract_y
_atom_site_fract_z
Sr1 0.000 0.000 0.000
Mg1 0.250 0.250 0.750
Br1 0.250 0.250 0.250

The most stable arrangement is one, and the next structure is 32.8 kJ/mol of atoms less stable.